Computed, not measured: a relaxed structure of Na2UPaS4 at the PBE level of DFT.

Cell lengths 3.920, 6.804, 7.232 Å; angles 108.21, 90.00, 90.00 degrees
Last column: magnetic moment on the atom in μB.
Atoms (fractional coordinates):
U (0.000, 0.000, 0.000)  2.71
S (0.000, 0.744, 0.235)  -0.04
S (0.500, 0.754, 0.767)  -0.05
S (0.500, 0.246, 0.233)  -0.05
S (0.000, 0.256, 0.765)  -0.04
Pa (0.500, 0.500, 0.000)  1.40
Na (0.500, 0.000, 0.500)  0.00
Na (0.000, 0.500, 0.500)  0.00

Summary:
E   -6.3972 eV/atom
Symmetry   P2/m, No. 10
Formation energy from raw total energies   -1085 kJ/mol of formula units